# 1
## RbLiHg3 (meta-GGA SCAN)

Data for RbLiHg3 at its PBEsol-relaxed geometry.

Properties
As for the size of the total moment: 0.00 μB per cell. The value obtained for the density of states at the Fermi level is 2.57 states/eV/f.u. The value obtained for the total energy is -45.802 eV/atom. The formation energy is -0.28 eV/atom.

abc: 5.203 5.203 5.203
angles: 90.00 90.00 90.00
Positions (direct):
Hg  0.000  0.500  0.000
Hg  0.000  0.000  0.500
Hg  0.500  0.000  0.000
Rb  0.500  0.500  0.500
Li  0.000  0.000  0.000

=====

# 2
## KBa2Sr (meta-GGA SCAN)

Data for KBa2Sr at its PBEsol-relaxed geometry.

Properties
As for the size of the total moment: 0.10 μB per cell. The value obtained for the density of states at the Fermi level is 6.36 states/eV/f.u. The value obtained for the total energy is -27.325 eV/atom. The formation energy is 0.10 eV/atom.

abc: 4.664 7.129 8.322
angles: 115.36 106.27 90.00
Positions (direct):
Sr  0.245  0.745  0.490
K  0.504  0.504  0.009
Ba  0.996  0.996  0.992
Ba  0.755  0.255  0.510

=====

# 3
## SrZnMo2 (meta-GGA SCAN)

Data for SrZnMo2 at its PBEsol-relaxed geometry.

Properties
As for the size of the total moment: 0.00 μB per cell. The value obtained for the density of states at the Fermi level is 3.56 states/eV/f.u. The value obtained for the total energy is -26.035 eV/atom. The formation energy is 0.35 eV/atom.

abc: 3.251 3.257 7.481
angles: 90.00 92.03 90.00
Positions (direct):
Mo  0.026  0.000  0.012
Mo  0.482  0.500  0.177
Sr  0.985  0.000  0.500
Zn  0.507  0.500  0.811

=====

Repeat the first record exactly.
## RbLiHg3 (meta-GGA SCAN)

Data for RbLiHg3 at its PBEsol-relaxed geometry.

Properties
As for the size of the total moment: 0.00 μB per cell. The value obtained for the density of states at the Fermi level is 2.57 states/eV/f.u. The value obtained for the total energy is -45.802 eV/atom. The formation energy is -0.28 eV/atom.

abc: 5.203 5.203 5.203
angles: 90.00 90.00 90.00
Positions (direct):
Hg  0.000  0.500  0.000
Hg  0.000  0.000  0.500
Hg  0.500  0.000  0.000
Rb  0.500  0.500  0.500
Li  0.000  0.000  0.000

=====

> Among the records above, which one has the highest size of the total moment?

KBa2Sr

=====

Copy entry 1 word for word.
## RbLiHg3 (meta-GGA SCAN)

Data for RbLiHg3 at its PBEsol-relaxed geometry.

Properties
As for the size of the total moment: 0.00 μB per cell. The value obtained for the density of states at the Fermi level is 2.57 states/eV/f.u. The value obtained for the total energy is -45.802 eV/atom. The formation energy is -0.28 eV/atom.

abc: 5.203 5.203 5.203
angles: 90.00 90.00 90.00
Positions (direct):
Hg  0.000  0.500  0.000
Hg  0.000  0.000  0.500
Hg  0.500  0.000  0.000
Rb  0.500  0.500  0.500
Li  0.000  0.000  0.000